Entry 1:
ZrTeAu: relaxed, GGA-PBE.

The space group is R3m (No. 160, hexagonal axes) and the conventional cell measures 4.0229, 4.0229 and 16.0428 Å, with angles of 90.00, 90.00 and 120.00 degrees. The inequivalent atoms are Zr at (0.0000, 0.0000, 0.0000), Te at (0.0000, 0.0000, 0.7812) and Au at (0.0000, 0.0000, 0.2371).

Its uncorrected formation energy is -0.487 eV/atom. The value obtained for the excess energy over the best structure of this formula in the dataset is 61 meV per atom.

***

Entry 2:
TiMoP: relaxed, GGA-PBE.

The space group is Pmma (No. 51) and the conventional cell measures 11.689, 3.322 and 6.754 Å, with angles of 90.00, 90.00 and 90.00 degrees. The inequivalent atoms are Ti at (0.050, 0.000, 0.211), Ti at (0.250, 0.000, 0.819), Mo at (0.114, 0.500, 0.555), Mo at (0.250, 0.500, 0.172), P at (0.098, 0.500, 0.919) and P at (0.250, 0.000, 0.433).

As for the formation energy: -0.806 eV/atom.

***

Entry 3:
Be2AsOsN: relaxed, GGA-PBE.

The space group is P4/mmm (No. 123) and the conventional cell measures 4.412, 4.412 and 4.572 Å, with angles of 90.00, 90.00 and 90.00 degrees. The inequivalent atoms are Be at (0.000, 0.500, 0.000), As at (0.000, 0.000, 0.500), Os at (0.000, 0.000, 0.000) and N at (0.500, 0.500, 0.500).

Its uncorrected formation energy is 1.406 eV/atom. The value obtained for the excess energy over the best structure of this formula in the dataset is 1158 meV per atom.

***

Entry 4:
Ce2GaPt: relaxed, GGA-PBE.

The space group is R-3m (No. 166, hexagonal axes) and the conventional cell measures 3.8485, 3.8485 and 29.4766 Å, with angles of 90.00, 90.00 and 120.00 degrees. The inequivalent atoms are Ce at (0.0000, 0.0000, 0.1059), Ga at (0.0000, 0.0000, 0.0000) and Pt at (0.0000, 0.0000, 0.5000).

As for the formation energy: -0.190 eV/atom.

***

Entry 5:
La2MoPb: relaxed, GGA-PBE.

The space group is Pm (No. 6) and the conventional cell measures 3.929, 5.032 and 5.573 Å, with angles of 90.00, 90.07 and 90.00 degrees. The inequivalent atoms are La at (0.000, 0.000, 0.000), La at (0.001, 0.500, 0.577), Mo at (0.500, 0.500, 0.139) and Pb at (0.501, 0.000, 0.462).

As for the formation energy: 0.122 eV/atom.

***

Entry 6:
Sr2Li2Zn: relaxed, GGA-PBE.

The space group is C2/c (No. 15) and the conventional cell measures 11.225, 7.263 and 7.981 Å, with angles of 90.00, 108.34 and 90.00 degrees. The inequivalent atoms are Sr at (0.170, 0.085, 0.151), Li at (0.080, 0.389, 0.452) and Zn at (0.000, 0.285, 0.750).

As for the formation energy: -0.065 eV/atom. The value obtained for the excess energy over the best structure of this formula in the dataset is 0 meV per atom.

***

Entry 7:
Na3GaBi: relaxed, GGA-PBE.

The space group is Ima2 (No. 46) and the conventional cell measures 10.585, 8.985 and 6.611 Å, with angles of 90.00, 90.00 and 90.00 degrees. The inequivalent atoms are Na at (0.001, 0.249, 0.000), Na at (0.250, 0.015, 0.251), Ga at (0.250, 0.684, 0.250) and Bi at (0.250, 0.122, 0.750).

As for the formation energy: -0.105 eV/atom. The value obtained for the excess energy over the best structure of this formula in the dataset is 0 meV per atom.

***

Entry 8:
CsGeSb2Te: relaxed, GGA-PBE.

The space group is P4/mmm (No. 123) and the conventional cell measures 5.538, 5.538 and 5.881 Å, with angles of 90.00, 90.00 and 90.00 degrees. The inequivalent atoms are Cs at (0.000, 0.000, 0.000), Ge at (0.500, 0.500, 0.500), Sb at (0.000, 0.500, 0.500) and Te at (0.500, 0.500, 0.000).

Its uncorrected formation energy is 0.142 eV/atom. The value obtained for the excess energy over the best structure of this formula in the dataset is 0 meV per atom.

***

no.,M_tot (μB per cell)
1,0.0
2,0.0
3,2.7
4,7.9
5,0.3
6,0.0
7,0.0
8,0.1